Version a
Tb5Dy2Ho: optimized geometry, PBE.

Results
SG = P-1

The structure in CIF format:
```
data_Tb5Dy2Ho
_cell_length_a 6.5690
_cell_length_b 8.8191
_cell_length_c 10.9457
_cell_angle_alpha 100.70
_cell_angle_beta 59.70
_cell_angle_gamma 112.03
_space_group_name_H-M_alt 'P 1'
_space_group_IT_number 1
_space_group_name_Hall 'P 1'
loop_
_atom_site_label
_atom_site_type_symbol
_atom_site_fract_x
_atom_site_fract_y
_atom_site_fract_z
Tb1 Tb 0.1152 0.9813 0.8403
Tb2 Tb 0.8731 0.9860 0.6606
Tb3 Tb 0.3715 0.7909 0.4475
Tb4 Tb 0.4246 0.7912 0.0499
Tb5 Tb 0.6405 0.2882 0.2519
Tb6 Tb 0.3595 0.7118 0.7481
Tb7 Tb 0.6285 0.2091 0.5525
Tb8 Tb 0.5754 0.2088 0.9501
Tb9 Tb 0.8848 0.0187 0.1597
Tb10 Tb 0.1269 0.0140 0.3394
Dy1 Dy 0.8012 0.6255 0.4250
Dy2 Dy 0.8280 0.6283 0.0749
Dy3 Dy 0.1988 0.3745 0.5750
Dy4 Dy 0.1720 0.3717 0.9251
Ho1 Ho 0.7930 0.5835 0.7500
Ho2 Ho 0.2070 0.4165 0.2500
```


Version b
Tb5Dy2Ho: optimized geometry, PBE.

Results
SG = Pbam

The structure in CIF format:
```
data_Tb5Dy2Ho
_cell_length_a 5.0055
_cell_length_b 7.0941
_cell_length_c 14.1871
_cell_angle_alpha 90.00
_cell_angle_beta 90.00
_cell_angle_gamma 90.00
_space_group_name_H-M_alt 'P 1'
_space_group_IT_number 1
_space_group_name_Hall 'P 1'
loop_
_atom_site_label
_atom_site_type_symbol
_atom_site_fract_x
_atom_site_fract_y
_atom_site_fract_z
Tb1 Tb 0.0000 0.0000 0.0000
Tb2 Tb 0.0000 0.5000 0.5000
Tb3 Tb 0.0000 0.4999 0.7502
Tb4 Tb 0.0000 0.5001 0.2498
Tb5 Tb 0.0000 0.0001 0.2502
Tb6 Tb 0.0000 0.9999 0.7498
Tb7 Tb 0.5000 0.2500 0.8751
Tb8 Tb 0.5000 0.7500 0.1249
Tb9 Tb 0.5000 0.2500 0.3751
Tb10 Tb 0.5000 0.7500 0.6249
Dy1 Dy 0.5000 0.2499 0.6247
Dy2 Dy 0.5000 0.7501 0.3753
Dy3 Dy 0.5000 0.2501 0.1247
Dy4 Dy 0.5000 0.7499 0.8753
Ho1 Ho 0.0000 0.0000 0.5000
Ho2 Ho 0.0000 0.5000 0.0000
```


Q: Which of them is the least stable? A: version a.


Version a
Tb4Dy3Ho5: optimized geometry, PBE.

Results
SG = C2/m

The structure in CIF format:
```
data_Tb4Dy3Ho5
_cell_length_a 5.8477
_cell_length_b 8.4798
_cell_length_c 9.5746
_cell_angle_alpha 105.90
_cell_angle_beta 72.22
_cell_angle_gamma 69.83
_space_group_name_H-M_alt 'P 1'
_space_group_IT_number 1
_space_group_name_Hall 'P 1'
loop_
_atom_site_label
_atom_site_type_symbol
_atom_site_fract_x
_atom_site_fract_y
_atom_site_fract_z
Tb1 Tb 0.8600 0.2216 0.0584
Tb2 Tb 0.1659 0.0476 0.6206
Tb3 Tb 0.8341 0.9524 0.3794
Tb4 Tb 0.1400 0.7784 0.9416
Dy1 Dy 0.5229 0.6865 0.2677
Dy2 Dy 0.0000 0.5000 0.5000
Dy3 Dy 0.4771 0.3135 0.7323
Ho1 Ho 0.6270 0.9462 0.7998
Ho2 Ho 0.5000 0.5000 0.5000
Ho3 Ho 0.2139 0.4588 0.1135
Ho4 Ho 0.7861 0.5412 0.8865
Ho5 Ho 0.3730 0.0538 0.2002
```


Version b
Tb4Dy3Ho5: optimized geometry, PBE.

Results
SG = P-1

The structure in CIF format:
```
data_Tb4Dy3Ho5
_cell_length_a 7.0664
_cell_length_b 11.1696
_cell_length_c 12.7360
_cell_angle_alpha 151.29
_cell_angle_beta 56.34
_cell_angle_gamma 129.29
_space_group_name_H-M_alt 'P 1'
_space_group_IT_number 1
_space_group_name_Hall 'P 1'
loop_
_atom_site_label
_atom_site_type_symbol
_atom_site_fract_x
_atom_site_fract_y
_atom_site_fract_z
Tb1 Tb 0.9172 0.8340 0.6669
Tb2 Tb 0.8325 0.6656 0.8328
Tb3 Tb 0.1675 0.3344 0.1672
Tb4 Tb 0.0828 0.1660 0.3331
Dy1 Dy 0.5822 0.1659 0.3330
Dy2 Dy 0.0000 0.0000 0.5000
Dy3 Dy 0.4178 0.8341 0.6670
Ho1 Ho 0.3324 0.6661 0.8334
Ho2 Ho 0.5000 0.0000 0.5000
Ho3 Ho 0.7504 0.4998 0.9998
Ho4 Ho 0.2496 0.5002 0.0002
Ho5 Ho 0.6676 0.3339 0.1666
```


Q: Which of them is the least stable? A: version a.


Version a
Tb4Dy2Ho5: optimized geometry, PBE.

Results
SG = C2/m

The structure in CIF format:
```
data_Tb4Dy2Ho5
_cell_length_a 3.6315
_cell_length_b 9.8639
_cell_length_c 12.6020
_cell_angle_alpha 123.94
_cell_angle_beta 81.74
_cell_angle_gamma 111.60
_space_group_name_H-M_alt 'P 1'
_space_group_IT_number 1
_space_group_name_Hall 'P 1'
loop_
_atom_site_label
_atom_site_type_symbol
_atom_site_fract_x
_atom_site_fract_y
_atom_site_fract_z
Tb1 Tb 0.7538 0.4260 0.3437
Tb2 Tb 0.3249 0.3525 0.0550
Tb3 Tb 0.2462 0.5740 0.6563
Tb4 Tb 0.6751 0.6475 0.9450
Dy1 Dy 0.8905 0.2762 0.7714
Dy2 Dy 0.1095 0.7238 0.2286
Ho1 Ho 0.9224 0.0404 0.2366
Ho2 Ho 0.0776 0.9596 0.7634
Ho3 Ho 0.5787 0.8281 0.4981
Ho4 Ho 0.5000 0.0000 0.0000
Ho5 Ho 0.4213 0.1719 0.5019
```


Version b
Tb4Dy2Ho5: optimized geometry, PBE.

Results
SG = C2/m

The structure in CIF format:
```
data_Tb4Dy2Ho5
_cell_length_a 3.4657
_cell_length_b 11.7527
_cell_length_c 25.9918
_cell_angle_alpha 160.08
_cell_angle_beta 93.82
_cell_angle_gamma 90.00
_space_group_name_H-M_alt 'P 1'
_space_group_IT_number 1
_space_group_name_Hall 'P 1'
loop_
_atom_site_label
_atom_site_type_symbol
_atom_site_fract_x
_atom_site_fract_y
_atom_site_fract_z
Tb1 Tb 0.6282 0.3239 0.2564
Tb2 Tb 0.0970 0.9465 0.1939
Tb3 Tb 0.3718 0.6761 0.7436
Tb4 Tb 0.9030 0.0535 0.8061
Dy1 Dy 0.6954 0.8879 0.3909
Dy2 Dy 0.3046 0.1121 0.6091
Ho1 Ho 0.2346 0.3070 0.4691
Ho2 Ho 0.7654 0.6930 0.5309
Ho3 Ho 0.0491 0.4516 0.0982
Ho4 Ho 0.5000 0.0000 0.0000
Ho5 Ho 0.9509 0.5484 0.9018
```


Q: Which of them is the least stable? A: version b.